Computed, not measured: crystalline La6AgHg5 at its relaxed geometry at the PBE level of DFT.

POSCAR file:
```
La6AgHg5
1.0
5.4066 -0.3514 0.8959
-0.0215 7.2580 2.9763
1.2815 0.3729 9.4388
Ag La Hg
1 6 5
direct
0.0000 0.0000 0.0000 Ag
0.1648 0.4123 0.6704 La
0.8352 0.0828 0.3297 La
0.4999 0.2457 0.0001 La
0.1648 0.9172 0.6703 La
0.5001 0.7543 0.9999 La
0.8352 0.5877 0.3296 La
0.6683 0.1687 0.6627 Hg
0.0000 0.5000 0.0000 Hg
0.3317 0.8313 0.3373 Hg
0.3332 0.3334 0.3335 Hg
0.6668 0.6666 0.6666 Hg
```

Values from the calculation:
Its space group is C2/m, No. 12. The value obtained for the volume is 29.553 Å³/atom. As for the density of states at the Fermi level: 13.91 states/eV/f.u. Its total energy is -3.2879 eV per atom. The total magnetization is 0.155 μB per atom. The energy relative to the elements comes out at -461 meV per atom.

Computed, not measured: crystalline La4Ag3Hg at its relaxed geometry at the PBE level of DFT.

POSCAR file:
```
La4Ag3Hg
1.0
3.8515 0.0000 0.0000
0.0000 5.4428 0.0000
0.0000 0.0000 10.8671
La Ag Hg
4 3 1
direct
0.0000 0.5000 0.2540 La
0.0000 0.0000 0.0000 La
0.0000 0.5000 0.7460 La
0.0000 0.0000 0.5000 La
0.5000 0.5000 0.5000 Ag
0.5000 0.0000 0.2507 Ag
0.5000 0.0000 0.7493 Ag
0.5000 0.5000 0.0000 Hg
```

Values from the calculation:
The calculation puts the energy above the most stable polymorph in this dataset at 0.0 meV per atom. Its space group is Pmmm, No. 47. The value obtained for the volume is 28.476 Å³/atom. As for the density of states at the Fermi level: 8.59 states/eV/f.u. Its total energy is -3.8882 eV per atom. The total magnetization is 0.028 μB per atom. The energy relative to the elements comes out at -318 meV per atom.

Computed, not measured: crystalline La5AgHg4 at its relaxed geometry at the PBE level of DFT.

POSCAR file:
```
La5AgHg4
1.0
3.9099 0.0000 0.0000
0.0000 3.9099 0.0000
0.0000 0.0000 19.2976
La Ag Hg
5 1 4
direct
0.5000 0.5000 0.5000 La
0.5000 0.5000 0.9038 La
0.5000 0.5000 0.7022 La
0.5000 0.5000 0.2978 La
0.5000 0.5000 0.0962 La
0.0000 0.0000 0.0000 Ag
0.0000 0.0000 0.6014 Hg
0.0000 0.0000 0.3986 Hg
0.0000 0.0000 0.8029 Hg
0.0000 0.0000 0.1971 Hg
```

Values from the calculation:
Its space group is P4/mmm, No. 123. The value obtained for the volume is 29.500 Å³/atom. As for the density of states at the Fermi level: 11.40 states/eV/f.u. Its total energy is -3.3215 eV per atom. The total magnetization is 0.150 μB per atom. The energy relative to the elements comes out at -452 meV per atom.

Computed, not measured: crystalline La2Ag3Hg at its relaxed geometry at the PBE level of DFT.

POSCAR file:
```
La2Ag3Hg
1.0
-4.5223 -2.5656 3.2018
2.4421 -4.1313 3.7754
1.8952 9.3585 2.5349
Ag La Hg
6 4 2
direct
0.1650 0.1650 0.3299 Ag
0.8350 0.8350 0.6701 Ag
0.1652 0.1652 0.8350 Ag
0.3301 0.3301 0.1650 Ag
0.8348 0.8348 0.1650 Ag
0.6699 0.6699 0.8350 Ag
0.2471 0.7529 0.0000 La
0.7529 0.2471 0.0000 La
0.7500 0.2500 0.5000 La
0.2500 0.7500 0.5000 La
0.3337 0.3337 0.6674 Hg
0.6663 0.6663 0.3326 Hg
```

Values from the calculation:
The calculation puts the energy above the most stable polymorph in this dataset at 0.0 meV per atom. Its space group is Fmmm, No. 69. The value obtained for the volume is 25.243 Å³/atom. As for the density of states at the Fermi level: 4.78 states/eV/f.u. Its total energy is -3.4649 eV per atom. The total magnetization is 0.000 μB per atom. The energy relative to the elements comes out at -346 meV per atom.

Computed, not measured: crystalline La3Ag3Hg at its relaxed geometry at the PBE level of DFT.

POSCAR file:
```
La3Ag3Hg
1.0
-2.5003 -0.7310 -4.1317
-1.8149 -2.8259 1.5983
-5.3180 8.4686 4.6070
Ag La Hg
3 3 1
direct
0.8571 0.3571 0.7141 Ag
0.1407 0.6407 0.2814 Ag
0.5681 0.5681 0.1363 Ag
0.6907 0.1907 0.3814 La
0.3070 0.8070 0.6140 La
0.0024 0.0024 0.0049 La
0.4339 0.4339 0.8679 Hg
```

Values from the calculation:
Its space group is Imm2, No. 44. The value obtained for the volume is 27.441 Å³/atom. As for the density of states at the Fermi level: 5.58 states/eV/f.u. Its total energy is -3.6849 eV per atom. The total magnetization is 0.000 μB per atom. The energy relative to the elements comes out at -308 meV per atom.

Computed, not measured: crystalline La4AgHg3 at its relaxed geometry at the PBE level of DFT.

POSCAR file:
```
La4AgHg3
1.0
5.3215 -0.0126 -1.4346
-0.3945 5.3125 -1.4131
-0.5206 -0.5935 8.6306
Hg La Ag
3 4 1
direct
0.0000 0.5000 0.0000 Hg
0.7510 0.2511 0.5019 Hg
0.2490 0.7489 0.4981 Hg
0.8767 0.8765 0.7532 La
0.6235 0.6234 0.2468 La
0.1233 0.1235 0.2468 La
0.3765 0.3766 0.7532 La
0.5000 0.0000 0.0000 Ag
```

Values from the calculation:
Its space group is Fmmm, No. 69. The value obtained for the volume is 29.397 Å³/atom. As for the density of states at the Fermi level: 7.95 states/eV/f.u. Its total energy is -3.3766 eV per atom. The total magnetization is 0.136 μB per atom. The energy relative to the elements comes out at -443 meV per atom.